(1)
VASP calculation (GGA-PBE) on a geometry-optimized DyZnP2Ir5 structure.

Summary:
* N(E_F): 4.64 states/eV/cell
* energy relative to the elements: -0.376 eV per atom
* E: -7.1540 eV/atom
* space group: No. 123

a b c (Å): 4.0265 4.0265 9.9121
angles (deg): 90.00 90.00 90.00
Sites, in units of the cell vectors:
Dy  0.0000  0.0000  0.0000
Zn  0.0000  0.0000  0.5000
P  0.5000  0.5000  0.2295
P  0.5000  0.5000  0.7705
Ir  0.0000  0.5000  0.3388
Ir  0.0000  0.5000  0.6612
Ir  0.5000  0.0000  0.3388
Ir  0.5000  0.0000  0.6612
Ir  0.5000  0.5000  0.0000


(2)
VASP calculation (GGA-PBE) on a geometry-optimized Y7Er5 structure.

Summary:
* N(E_F): 17.88 states/eV/cell
* energy relative to the elements: 0.009 eV per atom
* E: -5.6634 eV/atom
* space group: No. 12

a b c (Å): 9.4360 9.4360 13.0588
angles (deg): 117.70 117.70 21.78
Sites, in units of the cell vectors:
Y  0.0000  0.0000  0.0000
Y  0.1393  0.1393  0.7508
Y  0.1672  0.1672  0.5018
Y  0.4718  0.4718  0.7497
Y  0.5282  0.5282  0.2503
Y  0.8328  0.8328  0.4982
Y  0.8607  0.8607  0.2492
Er  0.1939  0.1939  0.2486
Er  0.3327  0.3327  0.9990
Er  0.5000  0.5000  0.5000
Er  0.6673  0.6673  0.0010
Er  0.8061  0.8061  0.7514